Computed, not measured: ZrP2Os at its PBEsol-relaxed geometry at the meta-GGA SCAN level of DFT.

Output
volume	14.911	Å³/atom
DFT total energy	-31.39	eV/atom
excess energy over the best structure of this formula in the dataset	18.8	kJ per mole of atoms

```
data_ZrP2Os
_chemical_formula_sum 'Zr1 P2 Os1'
_cell_length_a 4.5879
_cell_length_b 4.5879
_cell_length_c 4.5949
_cell_angle_alpha 104.17
_cell_angle_beta 104.17
_cell_angle_gamma 39.70
_space_group_name_H-M_alt 'P 1'
_space_group_IT_number 1
_space_group_name_Hall 'P 1'
loop_
_atom_site_label
_atom_site_type_symbol
_atom_site_fract_x
_atom_site_fract_y
_atom_site_fract_z
_atom_site_occupancy
Zr1 Zr 0.0000 0.0000 0.0000 1
P1 P 0.5041 0.5041 0.4919 1
P2 P 0.7479 0.7479 0.1941 1
Os1 Os 0.2327 0.2327 0.6049 1
```